[1]
# CoBr3Cl | Alexandria via LeMat-Bulk | PBE | optimized geometry
# Magnetic moment: 6.0 μB/cell
# Formation energy without anion corrections: 0.221 eV per atom
data_CoBr3Cl
_cell_length_a 4.332
_cell_length_b 4.332
_cell_length_c 21.818
_cell_angle_alpha 90.00
_cell_angle_beta 90.00
_cell_angle_gamma 120.00
_symmetry_space_group_name_H-M 'P 1'
_symmetry_Int_Tables_number 1
loop_
_symmetry_equiv_pos_as_xyz
'x,y,z'
loop_
_atom_site_label
_atom_site_fract_x
_atom_site_fract_y
_atom_site_fract_z
Br1 0.333 0.667 0.945
Br2 0.000 0.000 0.750
Co1 0.000 0.000 0.000
Br3 0.667 0.333 0.445
Cl1 0.333 0.667 0.750
Co2 0.000 0.000 0.500
Br4 0.667 0.333 0.055
Cl2 0.667 0.333 0.250
Br5 0.333 0.667 0.555
Br6 0.000 0.000 0.250

[2]
# CoBrCl2 | Alexandria via LeMat-Bulk | PBE | optimized geometry
# Magnetic moment: 0.7 μB/cell
# Formation energy without anion corrections: -0.356 eV per atom
data_CoBrCl2
_cell_length_a 3.250
_cell_length_b 6.566
_cell_length_c 6.565
_cell_angle_alpha 45.84
_cell_angle_beta 90.00
_cell_angle_gamma 90.00
_symmetry_space_group_name_H-M 'P 1'
_symmetry_Int_Tables_number 1
loop_
_symmetry_equiv_pos_as_xyz
'x,y,z'
loop_
_atom_site_label
_atom_site_fract_x
_atom_site_fract_y
_atom_site_fract_z
Co1 0.500 0.250 0.250
Br1 0.500 0.750 0.750
Cl1 0.000 0.376 0.376
Cl2 0.000 0.124 0.124

[3]
# CoBr3Cl | Alexandria via LeMat-Bulk | PBE | optimized geometry
# Magnetic moment: 12.0 μB/cell
# Formation energy without anion corrections: -0.059 eV per atom
data_CoBr3Cl
_cell_length_a 7.801
_cell_length_b 13.473
_cell_length_c 5.885
_cell_angle_alpha 90.00
_cell_angle_beta 90.00
_cell_angle_gamma 90.00
_symmetry_space_group_name_H-M 'P 1'
_symmetry_Int_Tables_number 1
loop_
_symmetry_equiv_pos_as_xyz
'x,y,z'
loop_
_atom_site_label
_atom_site_fract_x
_atom_site_fract_y
_atom_site_fract_z
Br1 0.094 0.606 0.845
Br2 0.594 0.606 0.655
Br3 0.767 0.250 0.658
Br4 0.406 0.394 0.345
Co1 0.470 0.250 0.538
Br5 0.594 0.894 0.655
Br6 0.233 0.750 0.342
Br7 0.906 0.394 0.155
Cl1 0.500 0.000 0.000
Co2 0.970 0.250 0.962
Br8 0.094 0.894 0.845
Co3 0.530 0.750 0.462
Co4 0.030 0.750 0.038
Br9 0.733 0.750 0.158
Cl2 0.000 0.500 0.500
Br10 0.267 0.250 0.842
Cl3 0.500 0.500 0.000
Br11 0.906 0.106 0.155
Cl4 0.000 0.000 0.500
Br12 0.406 0.106 0.345

| no. | volume (Å³ per atom) |
| --- | --- |
| 1 | 35.46 |
| 2 | 25.13 |
| 3 | 30.93 |